# Sb4SeBr, optimized geometry, DFT GGA-PBE
data_Sb4SeBr
_chemical_formula_sum 'Sb4 Se1 Br1'
_space_group_name_H-M_alt 'P 1'
_space_group_IT_number 1
_cell_length_a 6.194
_cell_length_b 6.194
_cell_length_c 6.194
_cell_angle_alpha 60.00
_cell_angle_beta 60.00
_cell_angle_gamma 60.00
loop_
_space_group_symop_operation_xyz
'x,y,z'
loop_
_atom_site_label
_atom_site_type_symbol
_atom_site_fract_x
_atom_site_fract_y
_atom_site_fract_z
_atom_site_occupancy
Sb1 Sb 0.372 0.372 0.372 1
Br1 Br 0.000 0.000 0.000 1
Sb2 Sb 0.372 0.372 0.884 1
Se1 Se 0.750 0.750 0.750 1
Sb3 Sb 0.372 0.884 0.372 1
Sb4 Sb 0.884 0.372 0.372 1
# - size of the total moment (μB per cell) = 0.00
# - DFT total energy (eV/atom) = -3.2776
# - formation energy (no corrections) (eV per atom) = 0.330
# - density of states at the Fermi level (states/eV/cell) = 3.32

***

# Dy5Sb4Te, optimized geometry, DFT GGA-PBE
data_Dy5Sb4Te
_chemical_formula_sum 'Dy5 Sb4 Te1'
_space_group_name_H-M_alt 'P 1'
_space_group_IT_number 1
_cell_length_a 6.192
_cell_length_b 7.584
_cell_length_c 7.584
_cell_angle_alpha 80.41
_cell_angle_beta 65.91
_cell_angle_gamma 65.91
loop_
_space_group_symop_operation_xyz
'x,y,z'
loop_
_atom_site_label
_atom_site_type_symbol
_atom_site_fract_x
_atom_site_fract_y
_atom_site_fract_z
_atom_site_occupancy
Sb1 Sb 0.399 0.400 0.803 1
Dy1 Dy 0.102 0.593 0.204 1
Dy2 Dy 0.696 0.204 0.407 1
Sb2 Sb 0.603 0.600 0.197 1
Dy3 Dy 0.501 0.000 0.000 1
Dy4 Dy 0.306 0.796 0.593 1
Te1 Te 0.001 0.000 0.000 1
Dy5 Dy 0.900 0.407 0.796 1
Sb3 Sb 0.203 0.197 0.400 1
Sb4 Sb 0.799 0.803 0.600 1
# - size of the total moment (μB per cell) = 0.00
# - DFT total energy (eV/atom) = -5.4667
# - formation energy (no corrections) (eV per atom) = -1.203
# - polymorph energy (0 for the lowest one) (meV/atom) = 0.0
# - density of states at the Fermi level (states/eV/cell) = 2.61

***

# AlTcSe3, optimized geometry, DFT GGA-PBE
data_AlTcSe3
_chemical_formula_sum 'Al1 Tc1 Se3'
_space_group_name_H-M_alt 'P 1'
_space_group_IT_number 1
_cell_length_a 4.920
_cell_length_b 4.920
_cell_length_c 4.920
_cell_angle_alpha 90.00
_cell_angle_beta 90.00
_cell_angle_gamma 90.00
loop_
_space_group_symop_operation_xyz
'x,y,z'
loop_
_atom_site_label
_atom_site_type_symbol
_atom_site_fract_x
_atom_site_fract_y
_atom_site_fract_z
_atom_site_occupancy
Se1 Se 0.000 0.000 0.500 1
Al1 Al 0.500 0.500 0.500 1
Tc1 Tc 0.000 0.000 0.000 1
Se2 Se 0.000 0.500 0.000 1
Se3 Se 0.500 0.000 0.000 1
# - size of the total moment (μB per cell) = 0.00
# - DFT total energy (eV/atom) = -4.5727
# - formation energy (no corrections) (eV per atom) = 0.340
# - polymorph energy (0 for the lowest one) (meV/atom) = 0.0
# - density of states at the Fermi level (states/eV/cell) = 5.30

***

# La2InAs2, optimized geometry, DFT GGA-PBE
data_La2InAs2
_chemical_formula_sum 'La4 In2 As4'
_space_group_name_H-M_alt 'P 1'
_space_group_IT_number 1
_cell_length_a 8.169
_cell_length_b 8.169
_cell_length_c 4.054
_cell_angle_alpha 90.00
_cell_angle_beta 90.00
_cell_angle_gamma 90.00
loop_
_space_group_symop_operation_xyz
'x,y,z'
loop_
_atom_site_label
_atom_site_type_symbol
_atom_site_fract_x
_atom_site_fract_y
_atom_site_fract_z
_atom_site_occupancy
La1 La 0.345 0.155 0.500 1
In1 In 0.500 0.500 0.000 1
La2 La 0.155 0.655 0.500 1
As1 As 0.849 0.651 0.000 1
In2 In 0.000 0.000 0.000 1
As2 As 0.349 0.849 0.000 1
As3 As 0.651 0.151 0.000 1
La3 La 0.845 0.345 0.500 1
As4 As 0.151 0.349 0.000 1
La4 La 0.655 0.845 0.500 1
# - size of the total moment (μB per cell) = 0.00
# - DFT total energy (eV/atom) = -5.4799
# - polymorph energy (0 for the lowest one) (meV/atom) = 0.0
# - DFT formation energy (eV/atom) = -1.101
# - density of states at the Fermi level (states/eV/cell) = 5.58

***

# Nd3ZnPd, optimized geometry, DFT GGA-PBE
data_Nd3ZnPd
_chemical_formula_sum 'Nd12 Zn4 Pd4'
_space_group_name_H-M_alt 'P 1'
_space_group_IT_number 1
_cell_length_a 6.599
_cell_length_b 9.604
_cell_length_c 9.706
_cell_angle_alpha 119.61
_cell_angle_beta 90.00
_cell_angle_gamma 90.00
loop_
_space_group_symop_operation_xyz
'x,y,z'
loop_
_atom_site_label
_atom_site_type_symbol
_atom_site_fract_x
_atom_site_fract_y
_atom_site_fract_z
_atom_site_occupancy
Pd1 Pd 0.751 0.500 0.000 1
Nd1 Nd 0.500 0.217 0.304 1
Pd2 Pd 0.749 0.000 0.000 1
Pd3 Pd 0.251 0.000 0.000 1
Nd2 Nd 0.500 0.783 0.696 1
Nd3 Nd 0.500 0.804 0.108 1
Zn1 Zn 0.311 0.000 0.500 1
Zn2 Zn 0.811 0.500 0.500 1
Nd4 Nd 0.000 0.696 0.892 1
Nd5 Nd 0.000 0.283 0.696 1
Nd6 Nd 0.500 0.196 0.892 1
Nd7 Nd 0.500 0.416 0.697 1
Nd8 Nd 0.000 0.717 0.304 1
Pd4 Pd 0.249 0.500 0.000 1
Nd9 Nd 0.000 0.916 0.697 1
Zn3 Zn 0.689 0.000 0.500 1
Nd10 Nd 0.500 0.584 0.303 1
Zn4 Zn 0.189 0.500 0.500 1
Nd11 Nd 0.000 0.304 0.108 1
Nd12 Nd 0.000 0.084 0.303 1
# - size of the total moment (μB per cell) = 0.00
# - DFT total energy (eV/atom) = -4.5349
# - DFT formation energy (eV/atom) = -0.381
# - density of states at the Fermi level (states/eV/cell) = 18.29

***

# Li2TbSmAu4, optimized geometry, DFT GGA-PBE
data_Li2TbSmAu4
_chemical_formula_sum 'Li2 Tb1 Sm1 Au4'
_space_group_name_H-M_alt 'P 1'
_space_group_IT_number 1
_cell_length_a 4.983
_cell_length_b 4.983
_cell_length_c 8.302
_cell_angle_alpha 72.54
_cell_angle_beta 72.54
_cell_angle_gamma 60.00
loop_
_space_group_symop_operation_xyz
'x,y,z'
loop_
_atom_site_label
_atom_site_type_symbol
_atom_site_fract_x
_atom_site_fract_y
_atom_site_fract_z
_atom_site_occupancy
Au1 Au 0.628 0.628 0.116 1
Au2 Au 0.131 0.131 0.608 1
Li1 Li 0.250 0.250 0.250 1
Sm1 Sm 0.000 0.000 0.000 1
Tb1 Tb 0.500 0.500 0.500 1
Au3 Au 0.869 0.869 0.392 1
Au4 Au 0.372 0.372 0.884 1
Li2 Li 0.750 0.750 0.750 1
# - size of the total moment (μB per cell) = 0.00
# - DFT total energy (eV/atom) = -3.9804
# - DFT formation energy (eV/atom) = -0.695
# - density of states at the Fermi level (states/eV/cell) = 4.96

***

# DyThTcAg, optimized geometry, DFT GGA-PBE
data_DyThTcAg
_chemical_formula_sum 'Dy1 Th1 Tc1 Ag1'
_space_group_name_H-M_alt 'P 1'
_space_group_IT_number 1
_cell_length_a 5.072
_cell_length_b 5.072
_cell_length_c 5.072
_cell_angle_alpha 60.00
_cell_angle_beta 60.00
_cell_angle_gamma 60.00
loop_
_space_group_symop_operation_xyz
'x,y,z'
loop_
_atom_site_label
_atom_site_type_symbol
_atom_site_fract_x
_atom_site_fract_y
_atom_site_fract_z
_atom_site_occupancy
Tc1 Tc 0.500 0.500 0.500 1
Ag1 Ag 0.000 0.000 0.000 1
Th1 Th 0.750 0.750 0.750 1
Dy1 Dy 0.250 0.250 0.250 1
# - size of the total moment (μB per cell) = 0.00
# - DFT total energy (eV/atom) = -6.4197
# - DFT formation energy (eV/atom) = -0.110
# - density of states at the Fermi level (states/eV/cell) = 2.45

***

# AlZnP2, optimized geometry, DFT GGA-PBE
data_AlZnP2
_chemical_formula_sum 'Al1 Zn1 P2'
_space_group_name_H-M_alt 'P 1'
_space_group_IT_number 1
_cell_length_a 5.213
_cell_length_b 5.213
_cell_length_c 2.677
_cell_angle_alpha 71.48
_cell_angle_beta 71.48
_cell_angle_gamma 84.86
loop_
_space_group_symop_operation_xyz
'x,y,z'
loop_
_atom_site_label
_atom_site_type_symbol
_atom_site_fract_x
_atom_site_fract_y
_atom_site_fract_z
_atom_site_occupancy
P1 P 0.000 0.000 0.000 1
Al1 Al 0.000 0.500 0.500 1
Zn1 Zn 0.500 0.000 0.500 1
P2 P 0.500 0.500 0.000 1
# - size of the total moment (μB per cell) = 0.00
# - DFT total energy (eV/atom) = -3.8537
# - polymorph energy (0 for the lowest one) (meV/atom) = 329.6
# - DFT formation energy (eV/atom) = 0.105
# - density of states at the Fermi level (states/eV/cell) = 1.03

***

> Look up the DFT total energy of the second one.

-5.4667 eV/atom

***

> DFT total energy of number 5 (Nd3ZnPd)?

-4.5349 eV/atom

***

> The highest density of states at the Fermi level belongs to which entry?

Nd3ZnPd